This record from Alexandria describes crystalline Fe6O11F at its relaxed geometry. The functional is GGA+U.

Cell and atoms, written as POSCAR:
```
Fe6O11F
1.0
4.5569 0.0000 0.0000
0.0973 5.4435 0.0000
0.1284 0.5346 7.5311
Fe O F
6 11 1
Direct
0.0000 0.0000 0.0000
0.0008 0.6642 0.3321
0.0209 0.3475 0.6771
0.4901 0.1632 0.3224
0.4981 0.8289 0.6725
0.5045 0.5005 0.0037
0.1939 0.0405 0.7706
0.1988 0.3706 0.4388
0.2005 0.7056 0.1028
0.3006 0.2067 0.0961
0.3142 0.8744 0.4385
0.3190 0.5382 0.7795
0.6889 0.4573 0.2299
0.7007 0.7948 0.9020
0.8042 0.2961 0.9002
0.8108 0.9622 0.2310
0.8133 0.6323 0.5675
0.7017 0.1366 0.5670
```

Computed properties:
DOS(E_F) = 0.412 states/eV per atom
Excess energy over the best structure of this formula in the dataset = 38 meV per atom
Crystal system = triclinic
Space-group type = P1, No. 1